First-principles (GGA-PBE) data for a relaxed Na2NpInBr6 crystal, as listed in Alexandria.

## Properties
* M_tot: 4.00 μB/f.u.
* formation energy (no corrections): -29.5 kcal/mol of atoms
* symmetry: R3, No. 146
* final energy: -4.114 eV per atom

Cell lengths 8.3021, 8.3021, 8.3021 Å; angles 54.65, 54.65, 54.65 degrees
With the nearest neighbours (Å) after each atom.
Fractional coordinates of all 10 atoms:
Na (0.0000, 0.0000, 0.0000)  6 Br 3.02-3.11
Na (0.4878, 0.4878, 0.4878)  6 Br 2.98-3.08
Np (0.8075, 0.8075, 0.8075)  6 Br 2.90-2.92
In (0.2926, 0.2926, 0.2926)  6 Br 3.23-3.42
Br (0.0676, 0.7247, 0.4163)  1 Np 2.90, 2 Na 3.02-3.08
Br (0.2067, 0.6287, 0.8556)  1 Np 2.92, 2 Na 2.98-3.11, 1 In 3.23
Br (0.4163, 0.0676, 0.7247)  1 Np 2.90, 2 Na 3.02-3.08
Br (0.6287, 0.8556, 0.2067)  1 Np 2.92, 2 Na 2.98-3.11, 1 In 3.23
Br (0.7247, 0.4163, 0.0676)  1 Np 2.90, 2 Na 3.02-3.08
Br (0.8556, 0.2067, 0.6287)  1 Np 2.92, 2 Na 2.98-3.11, 1 In 3.23

---

First-principles (GGA-PBE) data for a relaxed Li3PuRh2S6 crystal, as listed in Alexandria.

## Properties
* M_tot: 5.02 μB/f.u.
* formation energy (no corrections): -23.8 kcal/mol of atoms
* symmetry: C2/m, No. 12
* final energy: -5.995 eV per atom

Cell lengths 6.1694, 6.1694, 6.5349 Å; angles 99.06, 99.06, 119.88 degrees
With the nearest neighbours (Å) after each atom.
Fractional coordinates of all 12 atoms:
Li (0.0000, 0.0000, 0.0000)  6 S 2.47-2.74
Li (0.3372, 0.6628, 0.0000)  6 S 2.50-2.74
Li (0.6628, 0.3372, 0.0000)  6 S 2.50-2.74
Pu (0.5000, 0.5000, 0.5000)  6 S 2.69-2.70
Rh (0.1670, 0.8330, 0.5000)  6 S 2.43-2.44
Rh (0.8330, 0.1670, 0.5000)  6 S 2.43-2.44
S (0.0542, 0.4231, 0.2678)  2 Rh 2.43, 1 Li 2.50, 1 Pu 2.69
S (0.2106, 0.2106, 0.7351)  2 Rh 2.44, 3 Li 2.47-2.70, 1 Pu 2.70
S (0.4231, 0.0542, 0.2678)  2 Rh 2.43, 1 Li 2.50, 1 Pu 2.69
S (0.5769, 0.9458, 0.7322)  2 Rh 2.43, 1 Li 2.50, 1 Pu 2.69
S (0.7894, 0.7894, 0.2649)  2 Rh 2.44, 3 Li 2.47-2.70, 1 Pu 2.70
S (0.9458, 0.5769, 0.7322)  2 Rh 2.43, 1 Li 2.50, 1 Pu 2.69

---

First-principles (GGA-PBE) data for a relaxed Tb3BeGe4 crystal, as listed in Alexandria.

## Properties
* M_tot: 0.00 μB/f.u.
* energy of formation: -0.525 eV/atom
* symmetry: Immm, No. 71
* final energy: -5.036 eV per atom

Cell lengths 4.3748, 5.7264, 14.5114 Å; angles 90.00, 90.00, 90.00 degrees
With the nearest neighbours (Å) after each atom.
Fractional coordinates of all 16 atoms:
Tb (0.0000, 0.0000, 0.0000)  8 Ge 3.06
Tb (0.0000, 0.5000, 0.1920)  6 Ge 2.91-3.02
Tb (0.0000, 0.5000, 0.8080)  6 Ge 2.91-3.02
Tb (0.5000, 0.0000, 0.3080)  6 Ge 2.91-3.02
Tb (0.5000, 0.0000, 0.6920)  6 Ge 2.91-3.02
Tb (0.5000, 0.5000, 0.5000)  8 Ge 3.06
Be (0.0000, 0.0000, 0.5000)  4 Ge 2.36
Be (0.5000, 0.5000, 0.0000)  4 Ge 2.36
Ge (0.0000, 0.2799, 0.3808)  1 Be 2.36, 1 Ge 2.52
Ge (0.0000, 0.2799, 0.6192)  1 Be 2.36, 1 Ge 2.52
Ge (0.0000, 0.7201, 0.3808)  1 Be 2.36, 1 Ge 2.52
Ge (0.0000, 0.7201, 0.6192)  1 Be 2.36, 1 Ge 2.52
Ge (0.5000, 0.2201, 0.1192)  1 Be 2.36, 1 Ge 2.52
Ge (0.5000, 0.2201, 0.8808)  1 Be 2.36, 1 Ge 2.52
Ge (0.5000, 0.7799, 0.1192)  1 Be 2.36, 1 Ge 2.52
Ge (0.5000, 0.7799, 0.8808)  1 Be 2.36, 1 Ge 2.52

---

Among the records above, which one has the highest final energy? Na2NpInBr6

---

Repeat the second record exactly.
First-principles (GGA-PBE) data for a relaxed Li3PuRh2S6 crystal, as listed in Alexandria.

## Properties
* M_tot: 5.02 μB/f.u.
* formation energy (no corrections): -23.8 kcal/mol of atoms
* symmetry: C2/m, No. 12
* final energy: -5.995 eV per atom

Cell lengths 6.1694, 6.1694, 6.5349 Å; angles 99.06, 99.06, 119.88 degrees
With the nearest neighbours (Å) after each atom.
Fractional coordinates of all 12 atoms:
Li (0.0000, 0.0000, 0.0000)  6 S 2.47-2.74
Li (0.3372, 0.6628, 0.0000)  6 S 2.50-2.74
Li (0.6628, 0.3372, 0.0000)  6 S 2.50-2.74
Pu (0.5000, 0.5000, 0.5000)  6 S 2.69-2.70
Rh (0.1670, 0.8330, 0.5000)  6 S 2.43-2.44
Rh (0.8330, 0.1670, 0.5000)  6 S 2.43-2.44
S (0.0542, 0.4231, 0.2678)  2 Rh 2.43, 1 Li 2.50, 1 Pu 2.69
S (0.2106, 0.2106, 0.7351)  2 Rh 2.44, 3 Li 2.47-2.70, 1 Pu 2.70
S (0.4231, 0.0542, 0.2678)  2 Rh 2.43, 1 Li 2.50, 1 Pu 2.69
S (0.5769, 0.9458, 0.7322)  2 Rh 2.43, 1 Li 2.50, 1 Pu 2.69
S (0.7894, 0.7894, 0.2649)  2 Rh 2.44, 3 Li 2.47-2.70, 1 Pu 2.70
S (0.9458, 0.5769, 0.7322)  2 Rh 2.43, 1 Li 2.50, 1 Pu 2.69

---

The lowest M_tot belongs to which entry? Tb3BeGe4